# RbZrHg, relaxed, DFT PBE
# * magnetic moment: 2.39 μB per formula unit
# * calculated total energy: -6.80 eV per formula unit
data_RbZrHg
_cell_length_a 5.3386
_cell_length_b 5.3386
_cell_length_c 5.3386
_cell_angle_alpha 60.00
_cell_angle_beta 60.00
_cell_angle_gamma 60.00
_symmetry_space_group_name_H-M 'P 1'
_symmetry_Int_Tables_number 1
loop_
_symmetry_equiv_pos_as_xyz
'x,y,z'
loop_
_atom_site_label
_atom_site_type_symbol
_atom_site_fract_x
_atom_site_fract_y
_atom_site_fract_z
Hg1 Hg 0.0000 0.0000 0.0000
Zr1 Zr 0.7500 0.7500 0.7500
Rb1 Rb 0.2500 0.2500 0.2500